# PBE-GGA Mn2FeRe, optimized geometry
data_Mn2FeRe
_space_group_name_H-M_alt 'P 4 m m'
_space_group_IT_number 99
_cell_length_a 2.935
_cell_length_b 2.935
_cell_length_c 5.722
_cell_angle_alpha 90.00
_cell_angle_beta 90.00
_cell_angle_gamma 90.00
loop_
_space_group_symop_operation_xyz
'x,y,z'
'-y,x,z'
'-x,-y,z'
'y,-x,z'
'-x,y,z'
'y,x,z'
'x,-y,z'
'-y,-x,z'
loop_
_atom_site_label
_atom_site_fract_x
_atom_site_fract_y
_atom_site_fract_z
Mn1 0.000 0.000 0.000
Mn2 0.500 0.500 0.243
Fe1 0.500 0.500 0.761
Re1 0.000 0.000 0.502
# Energy of formation from the pure elements in meV/atom: 109
# Total magnetic moment in μB per cell: 4.41